Entry 1:
# ThScNi2Ge2, optimized geometry, DFT PBE
data_ThScNi2Ge2
_symmetry_space_group_name_H-M 'P -3 m 1'
_symmetry_Int_Tables_number 164
_symmetry_space_group_name_Hall '-P 3 2"'
_cell_length_a 4.1969
_cell_length_b 4.1969
_cell_length_c 7.0163
_cell_angle_alpha 90.00
_cell_angle_beta 90.00
_cell_angle_gamma 120.00
loop_
_atom_site_label
_atom_site_fract_x
_atom_site_fract_y
_atom_site_fract_z
Th1 0.0000 0.0000 0.0000
Sc1 0.0000 0.0000 0.5000
Ni1 0.3333 0.6667 0.6920
Ge1 0.3333 0.6667 0.2825
# DFT formation energy	-0.801	eV per atom

---

Entry 2:
# ThScNi5Ge2, optimized geometry, DFT PBE
data_ThScNi5Ge2
_symmetry_space_group_name_H-M 'P 4/m m m'
_symmetry_Int_Tables_number 123
_symmetry_space_group_name_Hall '-P 4 2'
_cell_length_a 3.977
_cell_length_b 3.977
_cell_length_c 8.766
_cell_angle_alpha 90.00
_cell_angle_beta 90.00
_cell_angle_gamma 90.00
loop_
_atom_site_label
_atom_site_fract_x
_atom_site_fract_y
_atom_site_fract_z
Th1 0.000 0.000 0.000
Sc1 0.000 0.000 0.500
Ni1 0.000 0.500 0.221
Ni2 0.500 0.500 0.000
Ge1 0.500 0.500 0.361
# DFT formation energy	-0.446	eV per atom

---

Entry 3:
# YScNiGe, optimized geometry, DFT PBE
data_YScNiGe
_symmetry_space_group_name_H-M 'F -4 3 m'
_symmetry_Int_Tables_number 216
_symmetry_space_group_name_Hall 'F -4 2 3'
_cell_length_a 6.768
_cell_length_b 6.768
_cell_length_c 6.768
_cell_angle_alpha 90.00
_cell_angle_beta 90.00
_cell_angle_gamma 90.00
loop_
_atom_site_label
_atom_site_fract_x
_atom_site_fract_y
_atom_site_fract_z
Y1 0.000 0.000 0.000
Sc1 0.000 0.000 0.500
Ni1 0.250 0.250 0.250
Ge1 0.250 0.250 0.750
# DFT formation energy	-0.555	eV per atom